Here is a relaxed NiH2Ir crystal from Alexandria via LeMat-Bulk. Energies are from GGA-PBEsol.

Unit cell a=4.0089 b=4.0089 c=4.8283 alpha=114.53 beta=114.53 gamma=90.00
Last column: nearest neighbours and their distance in Å.
Sites, in units of the cell vectors:
Ni  0.7500  0.2500  0.5000  4 H 1.65
Ni  0.5000  0.5000  0.0000  4 H 1.65
Ir  0.0000  0.0000  0.0000  4 H 1.80
Ir  0.2500  0.7500  0.5000  4 H 1.80
H  0.6250  0.5945  0.7500  2 Ni 1.65, 2 Ir 1.80
H  0.1250  0.1555  0.7500  2 Ni 1.65, 2 Ir 1.80
H  0.4055  0.8750  0.2500  2 Ni 1.65, 2 Ir 1.80
H  0.8445  0.3750  0.2500  2 Ni 1.65, 2 Ir 1.80

Summary:
* DFT total energy: -0.4022 Ry per atom
* mass density: 13.4 Mg/m³